1.
First-principles (GGA-PBE) data for a relaxed structure of Sm3Si2SnRh9, as listed in the Alexandria database.

Unit cell a=6.7682 b=6.7682 c=7.3583 alpha=90.00 beta=90.00 gamma=120.00
Space group P-3m1 (No. 164)
Asymmetric unit:
Sm1 0.0000 0.0000 0.0000 x1
Sm2 0.3333 0.6667 0.6716 x2
Si1 0.3333 0.6667 0.1426 x2
Sn1 0.0000 0.0000 0.5000 x1
Rh1 0.0000 0.5000 0.0000 x3
Rh2 0.1892 0.3783 0.3442 x6

Raw formation energy, eV per atom: -0.45

=====

2.
First-principles (GGA-PBE) data for a relaxed structure of Sm5Ru2Br2, as listed in the Alexandria database.

Unit cell a=16.241 b=7.921 c=7.924 alpha=90.00 beta=90.00 gamma=90.00
Space group Cmce (No. 64)
Asymmetric unit:
Sm1 0.000 0.000 0.000 x4
Sm2 0.110 0.155 0.347 x16
Ru1 0.000 0.143 0.642 x8
Br1 0.219 0.000 0.000 x8

Raw formation energy, eV per atom: -0.68

=====

3.
First-principles (GGA-PBE) data for a relaxed structure of YErTm2S6, as listed in the Alexandria database.

Unit cell a=6.8422 b=6.8422 c=18.3877 alpha=90.00 beta=90.00 gamma=120.00
Space group R3 (No. 146, hexagonal axes)
Asymmetric unit:
Y1 0.0000 0.0000 0.0000 x3
Er1 0.0000 0.0000 0.4988 x3
Tm1 0.0000 0.0000 0.2993 x3
Tm2 0.0000 0.0000 0.8001 x3
S1 0.0037 0.3049 0.8981 x9
S2 0.0074 0.7034 0.3985 x9

Raw formation energy, eV per atom: -2.06

=====

4.
First-principles (GGA-PBE) data for a relaxed structure of Er4Ga2Hg, as listed in the Alexandria database.

Unit cell a=4.9170 b=4.9170 c=27.0891 alpha=90.00 beta=90.00 gamma=120.00
Space group R-3m (No. 166, hexagonal axes)
Asymmetric unit:
Er1 0.0000 0.0000 0.1188 x6
Er2 0.0000 0.0000 0.2958 x6
Ga1 0.0000 0.0000 0.4019 x6
Hg1 0.0000 0.0000 0.5000 x3

Energy of formation from the pure elements, meV/atom: -268.7

=====

5.
First-principles (GGA-PBE) data for a relaxed structure of HoLuCdPt, as listed in the Alexandria database.

Unit cell a=7.119 b=7.119 c=7.119 alpha=90.00 beta=90.00 gamma=90.00
Space group F-43m (No. 216)
Asymmetric unit:
Ho1 0.000 0.000 0.000 x4
Lu1 0.000 0.000 0.500 x4
Cd1 0.250 0.250 0.250 x4
Pt1 0.250 0.250 0.750 x4

Energy of formation from the pure elements, meV/atom: -755.0

=====

no.,electronic total energy (eV per atom)
1,-6.79
2,-5.74
3,-6.54
4,-3.78
5,-4.77